[1]
Here is a PBEsol-optimized structure of RbBaAg2 from the Alexandria database. Energies are from meta-GGA SCAN.

Lattice parameters (Å, degrees): 5.717 5.717 5.717 60.00 60.00 60.00
Sites, in units of the cell vectors:
Rb 0.000 0.000 0.000
Ba 0.500 0.500 0.500
Ag 0.250 0.250 0.250
Ag 0.750 0.750 0.750

Computed properties:
Energy of formation: -0.1 eV per formula unit
Symmetry: Fm-3m
Total moment: 0.000 μB per formula unit



[2]
Here is a PBEsol-optimized structure of KFeCl4 from the Alexandria database. Energies are from meta-GGA SCAN.

Lattice parameters (Å, degrees): 7.218 9.912 12.026 90.00 126.72 90.00
Sites, in units of the cell vectors:
K 0.077 0.240 0.255
K 0.077 0.260 0.755
K 0.923 0.740 0.245
K 0.923 0.760 0.745
Fe 0.432 0.511 0.683
Fe 0.432 0.989 0.183
Fe 0.568 0.011 0.817
Fe 0.568 0.489 0.317
Cl 0.196 0.530 0.189
Cl 0.196 0.970 0.689
Cl 0.234 0.164 0.057
Cl 0.234 0.336 0.557
Cl 0.324 0.551 0.816
Cl 0.324 0.949 0.316
Cl 0.376 0.686 0.557
Cl 0.376 0.814 0.057
Cl 0.624 0.186 0.943
Cl 0.624 0.314 0.443
Cl 0.676 0.051 0.684
Cl 0.676 0.449 0.184
Cl 0.766 0.664 0.443
Cl 0.766 0.836 0.943
Cl 0.804 0.030 0.311
Cl 0.804 0.470 0.811

Computed properties:
E_form (uncorrected): -856 kJ/mol of formula units
Symmetry: P2_1/c
Total moment: 4.999 μB per formula unit



[3]
Here is a PBEsol-optimized structure of Y2MgAl from the Alexandria database. Energies are from meta-GGA SCAN.

Lattice parameters (Å, degrees): 5.149 5.149 5.149 60.00 60.00 60.00
Sites, in units of the cell vectors:
Y 0.250 0.250 0.250
Y 0.750 0.750 0.750
Mg 0.000 0.000 0.000
Al 0.500 0.500 0.500

Computed properties:
Energy of formation: -1.3 eV per formula unit
Symmetry: Fm-3m
Total moment: 0.040 μB per formula unit



[4]
Here is a PBEsol-optimized structure of SrMnAg2 from the Alexandria database. Energies are from meta-GGA SCAN.

Lattice parameters (Å, degrees): 3.440 3.440 7.151 90.00 90.00 90.00
Sites, in units of the cell vectors:
Sr 0.000 0.000 0.000
Mn 0.000 0.000 0.500
Ag 0.500 0.500 0.307
Ag 0.500 0.500 0.693

Computed properties:
Energy of formation: -0.3 eV per formula unit
Symmetry: P4/mmm
Total moment: 4.434 μB per formula unit



[5]
Here is a PBEsol-optimized structure of LiFeSi6O14 from the Alexandria database. Energies are from meta-GGA SCAN.

Lattice parameters (Å, degrees): 12.777 12.777 12.777 146.59 105.96 83.70
Sites, in units of the cell vectors:
Li 0.000 0.000 0.000
Li 0.250 0.750 0.500
Li 0.500 0.500 0.000
Li 0.750 0.250 0.500
Fe 0.056 0.750 0.306
Fe 0.444 0.750 0.694
Fe 0.556 0.250 0.306
Fe 0.944 0.250 0.694
Si 0.029 0.989 0.709
Si 0.078 0.381 0.154
Si 0.129 0.702 0.831
Si 0.169 0.278 0.447
Si 0.220 0.511 0.040
Si 0.227 0.923 0.846
Si 0.273 0.119 0.697
Si 0.280 0.321 0.291
Si 0.331 0.778 0.109
Si 0.371 0.202 0.573
Si 0.422 0.577 0.303
Si 0.471 0.179 0.960
Si 0.529 0.821 0.040
Si 0.578 0.423 0.697
Si 0.629 0.798 0.427
Si 0.669 0.222 0.891
Si 0.720 0.679 0.709
Si 0.727 0.881 0.303
Si 0.773 0.077 0.154
Si 0.780 0.489 0.960
Si 0.831 0.722 0.553
Si 0.871 0.298 0.169
Si 0.922 0.619 0.846
Si 0.971 0.011 0.291
O 0.006 0.714 0.851
O 0.007 0.082 0.477
O 0.046 0.226 0.921
O 0.063 0.103 0.302
O 0.071 0.597 0.301
O 0.105 0.582 0.075
O 0.132 0.484 0.616
O 0.137 0.845 0.851
O 0.149 0.948 0.745
O 0.195 0.274 0.820
O 0.199 0.239 0.302
O 0.203 0.404 0.255
O 0.203 0.903 0.473
O 0.226 0.787 0.013
O 0.274 0.287 0.561
O 0.297 0.552 0.201
O 0.297 0.770 0.699
O 0.301 0.603 0.040
O 0.305 0.125 0.079
O 0.351 0.096 0.799
O 0.363 0.214 0.708
O 0.368 0.984 0.352
O 0.395 0.470 0.477
O 0.429 0.730 0.527
O 0.437 0.739 0.040
O 0.454 0.375 0.180
O 0.493 0.970 0.075
O 0.494 0.345 0.708
O 0.506 0.655 0.292
O 0.507 0.030 0.925
O 0.546 0.625 0.820
O 0.563 0.261 0.960
O 0.571 0.270 0.473
O 0.605 0.530 0.523
O 0.632 0.016 0.648
O 0.637 0.786 0.292
O 0.649 0.904 0.201
O 0.695 0.875 0.921
O 0.699 0.397 0.960
O 0.703 0.230 0.301
O 0.703 0.448 0.799
O 0.726 0.713 0.439
O 0.774 0.213 0.987
O 0.797 0.097 0.527
O 0.797 0.596 0.745
O 0.801 0.761 0.698
O 0.805 0.726 0.180
O 0.851 0.052 0.255
O 0.863 0.155 0.149
O 0.868 0.516 0.384
O 0.895 0.418 0.925
O 0.929 0.403 0.699
O 0.937 0.897 0.698
O 0.954 0.774 0.079
O 0.993 0.918 0.523
O 0.994 0.286 0.149

Computed properties:
E_form (uncorrected): -5862 kJ/mol of formula units
Symmetry: Ibam
Total moment: 5.000 μB per formula unit



[6]
Here is a PBEsol-optimized structure of SrSi2Ni from the Alexandria database. Energies are from meta-GGA SCAN.

Lattice parameters (Å, degrees): 4.603 4.603 4.603 60.00 60.00 60.00
Sites, in units of the cell vectors:
Sr 0.000 0.000 0.000
Si 0.500 0.500 0.500
Si 0.750 0.750 0.750
Ni 0.250 0.250 0.250

Computed properties:
E_form (uncorrected): 166 kJ/mol of formula units
Symmetry: F-43m
Total moment: 0.000 μB per formula unit



[7]
Here is a PBEsol-optimized structure of Si2PRhBr from the Alexandria database. Energies are from meta-GGA SCAN.

Lattice parameters (Å, degrees): 4.400 4.400 4.757 90.00 90.00 90.00
Sites, in units of the cell vectors:
Si 0.000 0.500 0.000
Si 0.500 0.000 0.000
P 0.000 0.000 0.000
Rh 0.500 0.500 0.500
Br 0.000 0.000 0.500

Computed properties:
E_form (uncorrected): 579 kJ/mol of formula units
Symmetry: P4/mmm
Total moment: 0.000 μB per formula unit



[8]
Here is a PBEsol-optimized structure of LiSm2Ir from the Alexandria database. Energies are from meta-GGA SCAN.

Lattice parameters (Å, degrees): 4.949 4.949 4.949 60.00 60.00 60.00
Sites, in units of the cell vectors:
Li 0.000 0.000 0.000
Sm 0.250 0.250 0.250
Sm 0.750 0.750 0.750
Ir 0.500 0.500 0.500

Computed properties:
Energy of formation: -2.4 eV per formula unit
Symmetry: Fm-3m
Total moment: 0.000 μB per formula unit